Here is an optimized crystal structure of HfAgSb from the Alexandria database. Energies are from PBE.

- V: 263.2 Å³ per cell
- VASP energy: -5.785 eV per atom
- Formation energy without anion corrections: -14 kJ/mol of atoms
- Total moment: 0.0 μB per cell

Geometry as CIF:
```
data_HfAgSb
_space_group_name_H-M_alt 'C 1 2/m 1'
_space_group_IT_number 12
_space_group_name_Hall '-C 2y'
_cell_length_a 10.9909
_cell_length_b 3.2265
_cell_length_c 7.6692
_cell_angle_alpha 90.00
_cell_angle_beta 104.58
_cell_angle_gamma 90.00
loop_
_atom_site_label
_atom_site_type_symbol
_atom_site_fract_x
_atom_site_fract_y
_atom_site_fract_z
_atom_site_occupancy
Hf1 Hf 0.1595 0.0000 0.1428 1
Ag1 Ag 0.1454 0.5000 0.4864 1
Sb1 Sb 0.0669 0.5000 0.8099 1
```

=====

Here is an optimized crystal structure of Ca3Si2Pd3 from the Alexandria database. Energies are from PBE.

- V: 671.4 Å³ per cell
- E above lowest polymorph: 0.000 eV per atom
- VASP energy: -4.856 eV per atom
- Formation energy without anion corrections: -77 kJ/mol of atoms
- Total moment: 0.0 μB per cell

Geometry as CIF:
```
data_Ca3Si2Pd3
_space_group_name_H-M_alt 'P n m a'
_space_group_IT_number 62
_space_group_name_Hall '-P 2ac 2n'
_cell_length_a 7.7840
_cell_length_b 14.9203
_cell_length_c 5.7807
_cell_angle_alpha 90.00
_cell_angle_beta 90.00
_cell_angle_gamma 90.00
loop_
_atom_site_label
_atom_site_type_symbol
_atom_site_fract_x
_atom_site_fract_y
_atom_site_fract_z
_atom_site_occupancy
Ca1 Ca 0.0228 0.1071 0.1309 1
Ca2 Ca 0.1656 0.2500 0.6059 1
Si1 Si 0.1338 0.6012 0.3751 1
Pd1 Pd 0.1579 0.0381 0.6077 1
Pd2 Pd 0.1823 0.7500 0.5673 1
```

=====

Question: What is the formation energy without anion corrections in the first record?
Answer: -14 kJ/mol of atoms